Ce2InHgC after structural relaxation, computed with PBE-GGA.

Cell: 4.215 4.215 13.488 Å, 90.00 90.00 90.00°
Element x y z (fractional)
Ce: 0.250 0.250 0.083
Ce: 0.250 0.250 0.743
Ce: 0.750 0.750 0.257
Ce: 0.750 0.750 0.917
In: 0.250 0.750 0.500
In: 0.750 0.250 0.500
Hg: 0.250 0.250 0.337
Hg: 0.750 0.750 0.663
C: 0.250 0.250 0.912
C: 0.750 0.750 0.088

The space group is No. 129. Its formation energy is -0.090 eV/atom. Its density of states at the Fermi level is 8.37 states/eV/f.u. For the electronic total energy, the calculation gives -4.92 eV per atom.